Entry 1:
{
  "formula": "Pm8Dy2Er3",
  "functional": "PBE-GGA",
  "state": "optimized geometry",
  "formation_energy_ev_per_atom": 0.21,
  "de_polymorph_mev_per_atom": 190,
  "lattice": [[10.157, -3.847, 0.000], [10.157, 3.847, 0.000], [-0.001, 0.000, 5.690]],
  "species": ["Pm", "Pm", "Pm", "Pm", "Pm", "Pm", "Pm", "Pm", "Dy", "Dy", "Er", "Er", "Er"],
  "fractional_positions": [[0.100, 0.689, 0.000], [0.172, 0.172, 0.500], [0.311, 0.900, 0.000], [0.369, 0.369, 0.500], [0.631, 0.631, 0.500], [0.689, 0.100, 0.000], [0.828, 0.828, 0.500], [0.900, 0.311, 0.000], [0.260, 0.260, 0.001], [0.740, 0.740, 0.999], [0.214, 0.786, 0.500], [0.500, 0.500, 0.000], [0.786, 0.214, 0.500]]
}


Entry 2:
{
  "formula": "PmDyEr3",
  "functional": "PBE-GGA",
  "state": "optimized geometry",
  "formation_energy_ev_per_atom": 0.30,
  "de_polymorph_mev_per_atom": 0,
  "lattice": [[3.339, -8.907, 0.000], [3.339, 8.907, 0.000], [0.000, 0.000, 5.699]],
  "species": ["Pm", "Pm", "Dy", "Dy", "Er", "Er", "Er", "Er", "Er", "Er"],
  "fractional_positions": [[0.033, 0.967, 0.750], [0.967, 0.033, 0.250], [0.399, 0.601, 0.750], [0.601, 0.399, 0.250], [0.050, 0.445, 0.250], [0.145, 0.855, 0.250], [0.445, 0.050, 0.750], [0.555, 0.950, 0.250], [0.855, 0.145, 0.750], [0.950, 0.555, 0.750]]
}


Entry 3:
{
  "formula": "PmDy4Er",
  "functional": "PBE-GGA",
  "state": "optimized geometry",
  "formation_energy_ev_per_atom": 0.02,
  "de_polymorph_mev_per_atom": 0,
  "lattice": [[3.557, 0.000, 0.000], [1.776, 5.884, 0.000], [1.768, 1.600, 9.087]],
  "species": ["Pm", "Dy", "Dy", "Dy", "Dy", "Er"],
  "fractional_positions": [[0.000, 0.000, 0.000], [0.333, 0.501, 0.831], [0.333, 0.999, 0.336], [0.667, 0.001, 0.664], [0.667, 0.499, 0.169], [0.000, 0.500, 0.500]]
}


Entry 4:
{
  "formula": "PmDy6Er8",
  "functional": "PBE-GGA",
  "state": "optimized geometry",
  "formation_energy_ev_per_atom": 0.13,
  "lattice": [[4.490, 2.592, 6.814], [-4.490, 2.592, 6.814], [0.000, -5.185, 6.814]],
  "species": ["Pm", "Dy", "Dy", "Dy", "Dy", "Dy", "Dy", "Er", "Er", "Er", "Er", "Er", "Er", "Er", "Er"],
  "fractional_positions": [[0.000, 0.000, 0.000], [0.110, 0.539, 0.227], [0.227, 0.110, 0.539], [0.461, 0.773, 0.890], [0.539, 0.227, 0.110], [0.773, 0.890, 0.461], [0.890, 0.461, 0.773], [0.110, 0.721, 0.743], [0.257, 0.890, 0.279], [0.279, 0.257, 0.890], [0.424, 0.424, 0.424], [0.576, 0.576, 0.576], [0.721, 0.743, 0.110], [0.743, 0.110, 0.721], [0.890, 0.279, 0.257]]
}


Entry 5:
{
  "formula": "Pm6Dy5Er2",
  "functional": "PBE-GGA",
  "state": "optimized geometry",
  "formation_energy_ev_per_atom": 0.10,
  "lattice": [[11.665, 0.000, 0.000], [0.000, 20.521, 0.000], [0.000, 0.000, 3.607]],
  "species": ["Pm", "Pm", "Pm", "Pm", "Pm", "Pm", "Pm", "Pm", "Pm", "Pm", "Pm", "Pm", "Dy", "Dy", "Dy", "Dy", "Dy", "Dy", "Dy", "Dy", "Dy", "Dy", "Er", "Er", "Er", "Er"],
  "fractional_positions": [[0.061, 0.081, 0.000], [0.083, 0.368, 0.000], [0.173, 0.636, 0.500], [0.327, 0.136, 0.500], [0.417, 0.868, 0.000], [0.439, 0.581, 0.000], [0.561, 0.419, 0.000], [0.583, 0.132, 0.000], [0.673, 0.864, 0.500], [0.827, 0.364, 0.500], [0.917, 0.632, 0.000], [0.939, 0.919, 0.000], [0.000, 0.500, 0.500], [0.091, 0.227, 0.500], [0.198, 0.945, 0.500], [0.302, 0.445, 0.500], [0.409, 0.727, 0.500], [0.500, 0.000, 0.500], [0.591, 0.273, 0.500], [0.698, 0.555, 0.500], [0.802, 0.055, 0.500], [0.909, 0.773, 0.500], [0.166, 0.790, 0.000], [0.334, 0.290, 0.000], [0.666, 0.710, 0.000], [0.834, 0.210, 0.000]]
}


Entry 6:
{
  "formula": "Pm2Dy2Er5",
  "functional": "PBE-GGA",
  "state": "optimized geometry",
  "formation_energy_ev_per_atom": 0.22,
  "de_polymorph_mev_per_atom": 212,
  "lattice": [[-7.438, 5.851, 3.354], [7.438, -5.851, 3.354], [7.438, 5.851, -3.354]],
  "species": ["Pm", "Pm", "Pm", "Pm", "Dy", "Dy", "Dy", "Dy", "Er", "Er", "Er", "Er", "Er", "Er", "Er", "Er", "Er", "Er"],
  "fractional_positions": [[0.004, 0.127, 0.132], [0.004, 0.373, 0.377], [0.996, 0.627, 0.623], [0.996, 0.873, 0.868], [0.452, 0.452, 0.000], [0.452, 0.952, 0.500], [0.539, 0.802, 0.237], [0.564, 0.302, 0.763], [0.093, 0.473, 0.906], [0.093, 0.687, 0.121], [0.100, 0.100, 0.499], [0.406, 0.203, 0.309], [0.406, 0.597, 0.703], [0.567, 0.187, 0.094], [0.567, 0.973, 0.879], [0.601, 0.600, 0.501], [0.894, 0.097, 0.691], [0.894, 0.703, 0.297]]
}


Entry 7:
{
  "formula": "PmDyEr4",
  "functional": "PBE-GGA",
  "state": "optimized geometry",
  "formation_energy_ev_per_atom": 0.28,
  "de_polymorph_mev_per_atom": 225,
  "lattice": [[0.000, 4.633, 4.633], [4.633, 0.000, 4.633], [4.633, 4.633, 0.000]],
  "species": ["Pm", "Dy", "Er", "Er", "Er", "Er"],
  "fractional_positions": [[0.000, 0.000, 0.000], [0.750, 0.750, 0.750], [0.375, 0.375, 0.375], [0.375, 0.375, 0.874], [0.375, 0.874, 0.375], [0.874, 0.375, 0.375]]
}


Entry 8:
{
  "formula": "Pm6Dy6Er",
  "functional": "PBE-GGA",
  "state": "optimized geometry",
  "formation_energy_ev_per_atom": 0.28,
  "lattice": [[6.720, 0.000, 0.000], [-3.360, 5.820, 0.000], [0.000, 0.000, 11.370]],
  "species": ["Pm", "Pm", "Pm", "Pm", "Pm", "Pm", "Dy", "Dy", "Dy", "Dy", "Dy", "Dy", "Er"],
  "fractional_positions": [[0.000, 0.000, 0.156], [0.000, 0.000, 0.844], [0.333, 0.667, 0.000], [0.333, 0.667, 0.500], [0.667, 0.333, 0.000], [0.667, 0.333, 0.500], [0.000, 0.500, 0.253], [0.000, 0.500, 0.747], [0.500, 0.000, 0.253], [0.500, 0.000, 0.747], [0.500, 0.500, 0.253], [0.500, 0.500, 0.747], [0.000, 0.000, 0.500]]
}


Entry 9:
{
  "formula": "Pm4Dy8Er",
  "functional": "PBE-GGA",
  "state": "optimized geometry",
  "formation_energy_ev_per_atom": 0.51,
  "lattice": [[5.509, 3.181, 4.488], [-5.509, 3.181, 4.488], [0.000, -6.361, 4.488]],
  "species": ["Pm", "Pm", "Pm", "Pm", "Dy", "Dy", "Dy", "Dy", "Dy", "Dy", "Dy", "Dy", "Er"],
  "fractional_positions": [[0.000, 0.000, 0.000], [0.000, 0.500, 0.500], [0.500, 0.000, 0.500], [0.500, 0.500, 0.000], [0.240, 0.240, 0.240], [0.240, 0.240, 0.759], [0.240, 0.759, 0.240], [0.241, 0.760, 0.760], [0.759, 0.240, 0.240], [0.760, 0.241, 0.760], [0.760, 0.760, 0.241], [0.760, 0.760, 0.760], [0.500, 0.500, 0.500]]
}


Entry 10:
{
  "formula": "Pm2Dy3Er6",
  "functional": "PBE-GGA",
  "state": "optimized geometry",
  "formation_energy_ev_per_atom": 0.19,
  "de_polymorph_mev_per_atom": 0,
  "lattice": [[3.036, -5.269, 0.000], [3.036, 5.269, 0.000], [-2.051, 0.000, 11.440]],
  "species": ["Pm", "Pm", "Dy", "Dy", "Dy", "Er", "Er", "Er", "Er", "Er", "Er"],
  "fractional_positions": [[0.166, 0.834, 0.000], [0.834, 0.166, 0.000], [0.000, 0.000, 0.500], [0.335, 0.665, 0.500], [0.665, 0.335, 0.500], [0.083, 0.416, 0.748], [0.250, 0.250, 0.252], [0.416, 0.083, 0.748], [0.584, 0.917, 0.252], [0.750, 0.750, 0.748], [0.917, 0.584, 0.252]]
}


Entry 11:
{
  "formula": "Pm3DyEr6",
  "functional": "PBE-GGA",
  "state": "optimized geometry",
  "formation_energy_ev_per_atom": 0.02,
  "de_polymorph_mev_per_atom": 0,
  "lattice": [[6.144, 0.000, 0.000], [1.025, 6.069, 0.000], [3.059, 2.600, 8.487]],
  "species": ["Pm", "Pm", "Pm", "Dy", "Er", "Er", "Er", "Er", "Er", "Er"],
  "fractional_positions": [[0.000, 0.000, 0.000], [0.000, 0.399, 0.202], [0.000, 0.601, 0.798], [0.500, 0.500, 0.500], [0.001, 0.200, 0.598], [0.499, 0.699, 0.101], [0.500, 0.098, 0.301], [0.500, 0.902, 0.699], [0.501, 0.301, 0.899], [0.999, 0.800, 0.402]]
}


Entry 12:
{
  "formula": "Pm9Dy4Er11",
  "functional": "PBE-GGA",
  "state": "optimized geometry",
  "formation_energy_ev_per_atom": 0.05,
  "lattice": [[8.339, -12.638, 0.000], [8.339, 12.638, 0.000], [0.000, 0.000, 3.699]],
  "species": ["Pm", "Pm", "Pm", "Pm", "Pm", "Pm", "Pm", "Pm", "Pm", "Dy", "Dy", "Dy", "Dy", "Er", "Er", "Er", "Er", "Er", "Er", "Er", "Er", "Er", "Er", "Er"],
  "fractional_positions": [[0.000, 0.000, 0.000], [0.130, 0.662, 0.000], [0.287, 0.434, 0.000], [0.338, 0.870, 0.000], [0.434, 0.287, 0.000], [0.566, 0.713, 0.000], [0.662, 0.130, 0.000], [0.713, 0.566, 0.000], [0.870, 0.338, 0.000], [0.055, 0.255, 0.000], [0.255, 0.055, 0.000], [0.745, 0.945, 0.000], [0.945, 0.745, 0.000], [0.094, 0.454, 0.500], [0.134, 0.866, 0.500], [0.211, 0.211, 0.500], [0.339, 0.661, 0.500], [0.454, 0.094, 0.500], [0.500, 0.500, 0.500], [0.546, 0.906, 0.500], [0.661, 0.339, 0.500], [0.789, 0.789, 0.500], [0.866, 0.134, 0.500], [0.906, 0.546, 0.500]]
}


Entry 13:
{
  "formula": "PmDy5Er7",
  "functional": "PBE-GGA",
  "state": "optimized geometry",
  "formation_energy_ev_per_atom": 0.25,
  "de_polymorph_mev_per_atom": 0,
  "lattice": [[-3.330, 5.504, 5.748], [3.330, -5.504, 5.748], [3.330, 5.504, -5.748]],
  "species": ["Pm", "Dy", "Dy", "Dy", "Dy", "Dy", "Er", "Er", "Er", "Er", "Er", "Er", "Er"],
  "fractional_positions": [[0.000, 0.000, 0.000], [0.028, 0.033, 0.461], [0.028, 0.568, 0.996], [0.302, 0.802, 0.500], [0.572, 0.033, 0.004], [0.572, 0.568, 0.539], [0.220, 0.550, 0.670], [0.305, 0.305, 0.000], [0.383, 0.052, 0.331], [0.610, 0.610, 0.000], [0.721, 0.052, 0.669], [0.800, 0.300, 0.500], [0.880, 0.550, 0.330]]
}


Entry 14:
{
  "formula": "PmDyEr",
  "functional": "PBE-GGA",
  "state": "optimized geometry",
  "formation_energy_ev_per_atom": 0.07,
  "de_polymorph_mev_per_atom": 51,
  "lattice": [[5.627, 0.000, 0.000], [-2.814, 4.873, 0.000], [0.000, 0.000, 3.491]],
  "species": ["Pm", "Dy", "Er"],
  "fractional_positions": [[0.000, 0.000, 0.000], [0.667, 0.333, 0.500], [0.333, 0.667, 0.000]]
}


Entry 15:
{
  "formula": "PmDy5Er4",
  "functional": "PBE-GGA",
  "state": "optimized geometry",
  "formation_energy_ev_per_atom": 0.31,
  "lattice": [[-5.067, 5.067, 3.145], [5.067, -5.067, 3.145], [5.067, 5.067, -3.145]],
  "species": ["Pm", "Dy", "Dy", "Dy", "Dy", "Dy", "Er", "Er", "Er", "Er"],
  "fractional_positions": [[0.000, 0.000, 0.000], [0.039, 0.128, 0.622], [0.128, 0.507, 0.089], [0.417, 0.039, 0.911], [0.507, 0.417, 0.378], [0.545, 0.545, 0.000], [0.119, 0.820, 0.399], [0.422, 0.720, 0.601], [0.720, 0.119, 0.298], [0.820, 0.422, 0.702]]
}


Entry 16:
{
  "formula": "Pm3Dy7Er",
  "functional": "PBE-GGA",
  "state": "optimized geometry",
  "formation_energy_ev_per_atom": 0.27,
  "de_polymorph_mev_per_atom": 128,
  "lattice": [[-2.923, 5.571, 5.606], [2.923, -5.571, 5.606], [2.923, 5.571, -5.606]],
  "species": ["Pm", "Pm", "Pm", "Dy", "Dy", "Dy", "Dy", "Dy", "Dy", "Dy", "Er"],
  "fractional_positions": [[0.000, 0.000, 0.000], [0.212, 0.712, 0.500], [0.788, 0.288, 0.500], [0.004, 0.801, 0.203], [0.207, 0.500, 0.707], [0.403, 0.199, 0.203], [0.500, 0.000, 0.500], [0.597, 0.801, 0.797], [0.793, 0.500, 0.293], [0.996, 0.199, 0.797], [0.500, 0.500, 0.000]]
}


Entry 17:
{
  "formula": "Pm6DyEr2",
  "functional": "PBE-GGA",
  "state": "optimized geometry",
  "formation_energy_ev_per_atom": 0.11,
  "de_polymorph_mev_per_atom": 98,
  "lattice": [[6.277, -7.398, 0.000], [6.277, 7.398, 0.000], [-1.700, 0.000, 6.474]],
  "species": ["Pm", "Pm", "Pm", "Pm", "Pm", "Pm", "Pm", "Pm", "Pm", "Pm", "Pm", "Pm", "Dy", "Dy", "Er", "Er", "Er", "Er"],
  "fractional_positions": [[0.043, 0.426, 0.702], [0.140, 0.769, 0.982], [0.231, 0.860, 0.518], [0.262, 0.459, 0.184], [0.426, 0.043, 0.202], [0.459, 0.262, 0.684], [0.541, 0.738, 0.316], [0.574, 0.957, 0.798], [0.738, 0.541, 0.816], [0.769, 0.140, 0.482], [0.860, 0.231, 0.018], [0.957, 0.574, 0.298], [0.392, 0.608, 0.750], [0.608, 0.392, 0.250], [0.123, 0.159, 0.362], [0.159, 0.123, 0.862], [0.841, 0.877, 0.138], [0.877, 0.841, 0.638]]
}


Entry 18:
{
  "formula": "PmDy5Er3",
  "functional": "PBE-GGA",
  "state": "optimized geometry",
  "formation_energy_ev_per_atom": 0.05,
  "de_polymorph_mev_per_atom": 0,
  "lattice": [[8.380, -4.836, 0.000], [8.380, 4.836, 0.000], [0.000, 0.000, 6.983]],
  "species": ["Pm", "Pm", "Dy", "Dy", "Dy", "Dy", "Dy", "Dy", "Dy", "Dy", "Dy", "Dy", "Er", "Er", "Er", "Er", "Er", "Er"],
  "fractional_positions": [[0.195, 0.805, 0.750], [0.805, 0.195, 0.250], [0.140, 0.860, 0.250], [0.142, 0.500, 0.750], [0.193, 0.499, 0.250], [0.499, 0.193, 0.750], [0.500, 0.142, 0.250], [0.500, 0.858, 0.750], [0.501, 0.807, 0.250], [0.807, 0.501, 0.750], [0.858, 0.500, 0.250], [0.860, 0.140, 0.750], [0.169, 0.169, 0.000], [0.169, 0.169, 0.500], [0.500, 0.500, 0.000], [0.500, 0.500, 0.500], [0.831, 0.831, 0.000], [0.831, 0.831, 0.500]]
}


Entry 19:
{
  "formula": "Pm2Dy3Er4",
  "functional": "PBE-GGA",
  "state": "optimized geometry",
  "formation_energy_ev_per_atom": 0.10,
  "lattice": [[8.117, -5.773, 0.000], [8.117, 5.773, 0.000], [-0.649, 0.000, 6.074]],
  "species": ["Pm", "Pm", "Pm", "Pm", "Dy", "Dy", "Dy", "Dy", "Dy", "Dy", "Er", "Er", "Er", "Er", "Er", "Er", "Er", "Er"],
  "fractional_positions": [[0.021, 0.733, 0.677], [0.267, 0.979, 0.823], [0.733, 0.021, 0.177], [0.979, 0.267, 0.323], [0.097, 0.903, 0.250], [0.238, 0.433, 0.402], [0.433, 0.238, 0.902], [0.567, 0.762, 0.098], [0.762, 0.567, 0.598], [0.903, 0.097, 0.750], [0.077, 0.355, 0.849], [0.313, 0.595, 0.984], [0.355, 0.077, 0.349], [0.405, 0.687, 0.516], [0.595, 0.313, 0.484], [0.645, 0.923, 0.651], [0.687, 0.405, 0.016], [0.923, 0.645, 0.151]]
}